Record 1
## ScMnOs2 (GGA-PBE)

Data for a relaxed structure of ScMnOs2.

Geometry as POSCAR:
```
ScMnOs2
1.0
2.815 0.000 0.000
0.000 3.996 0.000
0.000 0.000 5.476
Sc Mn Os
1 1 2
Cartesian
0.000 0.000 0.000
1.408 1.998 1.407
0.000 0.000 2.762
1.408 1.998 3.963
```

Values from the calculation:
ΔH_f (0 K) = 24 kJ/mol of formula units
calculated total energy = -9.427 eV per atom
SG = Pmm2, No. 25
size of the total moment = 3.3 μB per formula unit
crystal system = orthorhombic

***

Record 2
## Dy8Ho6Er (GGA-PBE)

Data for a relaxed structure of Dy8Ho6Er.

Geometry as POSCAR:
```
Dy8Ho6Er
1.0
4.481 2.587 6.811
-4.481 2.587 6.811
0.000 -5.174 6.811
Dy Ho Er
8 6 1
Cartesian
0.000 0.000 1.570
-0.105 -1.953 7.327
-1.639 1.067 7.327
-1.744 -0.886 13.106
1.744 0.886 7.327
1.639 -1.067 13.106
0.105 1.953 13.106
0.000 0.000 18.862
-3.095 -1.144 9.389
-0.557 -3.253 11.044
-2.539 2.108 11.044
2.539 -2.108 9.389
0.557 3.253 9.389
3.095 1.144 11.044
0.000 0.000 10.216
```

Values from the calculation:
ΔH_f (0 K) = 186 kJ/mol of formula units
calculated total energy = -4.461 eV per atom
SG = R-3, No. 148
size of the total moment = 0.0 μB per formula unit
crystal system = trigonal

***

Record 3
## Pa2GaPd3 (GGA-PBE)

Data for a relaxed structure of Pa2GaPd3.

Geometry as POSCAR:
```
Pa2GaPd3
1.0
0.000 4.585 8.006
3.161 0.000 8.006
3.161 4.585 0.000
Pa Ga Pd
4 2 6
Cartesian
4.881 4.585 8.006
1.581 2.293 4.003
4.742 6.878 12.009
1.441 4.585 8.006
3.161 4.585 5.350
3.161 4.585 10.662
3.161 4.585 2.743
3.161 2.402 6.639
3.161 2.402 9.373
3.161 6.769 6.639
3.161 6.769 9.373
3.161 4.585 13.269
```

Values from the calculation:
excess energy over the best structure of this formula in the dataset = 0 meV/atom
ΔH_f (0 K) = -363 kJ/mol of formula units
calculated total energy = -6.894 eV per atom
SG = Fmmm, No. 69
size of the total moment = 0.0 μB per formula unit
crystal system = orthorhombic

***

Record 4
## YTmSe2O (GGA-PBE)

Data for a relaxed structure of YTmSe2O.

Geometry as POSCAR:
```
YTmSe2O
1.0
3.951 0.000 0.000
0.000 3.951 0.000
0.000 0.000 14.422
Y Tm Se O
2 2 4 2
Cartesian
0.988 0.988 1.107
2.964 2.964 13.316
0.988 0.988 9.037
2.964 2.964 5.385
0.988 0.988 5.944
0.988 0.988 11.634
2.964 2.964 2.788
2.964 2.964 8.479
0.988 2.964 0.000
2.964 0.988 0.000
```

Values from the calculation:
calculated total energy = -6.962 eV per atom
SG = P4/nmm, No. 129
size of the total moment = 0.0 μB per formula unit
energy relative to the elements, uncorrected = -2.39 eV/atom
crystal system = tetragonal

***

> What is the size of the total moment in the second record?

0.0 μB per formula unit

***

> size of the total moment of number 3 (Pa2GaPd3)?

0.0 μB per formula unit

***

> Which of these has the highest size of the total moment?

ScMnOs2